# RbPrHgTe3 (PBE-GGA, optimized geometry)
# Uncorrected energy (eV per atom): -3.548
# Size of the total moment (μB per formula unit): 0.00
data_RbPrHgTe3
_space_group_name_H-M_alt 'P 1 21/m 1'
_space_group_IT_number 11
_cell_length_a 9.335
_cell_length_b 4.633
_cell_length_c 11.426
_cell_angle_alpha 90.00
_cell_angle_beta 108.16
_cell_angle_gamma 90.00
loop_
_space_group_symop_operation_xyz
'x,y,z'
'-x,-y,-z'
'-x,y+1/2,-z'
'x,-y+1/2,z'
loop_
_atom_site_label
_atom_site_type_symbol
_atom_site_fract_x
_atom_site_fract_y
_atom_site_fract_z
Rb1 Rb 0.246 0.250 0.213
Pr1 Pr 0.188 0.750 0.636
Hg1 Hg 0.412 0.250 0.880
Te1 Te 0.041 0.750 0.349
Te2 Te 0.262 0.750 0.944
Te3 Te 0.432 0.250 0.639